Compound: Ta3W
Source: Alexandria
Functional: GGA-PBE
Structure: relaxed

```
data_Ta3W
_symmetry_space_group_name_H-M 'P m -3 m'
_symmetry_Int_Tables_number 221
_symmetry_space_group_name_Hall '-P 4 2 3'
_cell_length_a 4.929
_cell_length_b 4.929
_cell_length_c 4.929
_cell_angle_alpha 90.00
_cell_angle_beta 90.00
_cell_angle_gamma 90.00
loop_
_atom_site_label
_atom_site_fract_x
_atom_site_fract_y
_atom_site_fract_z
Ta1 0.000 0.000 0.500
W1 0.000 0.000 0.000
```

Electronic total energy   -39.0 eV/cell
Formation energy   2.37 eV per atom
DOS(E_F)   1.794 states/eV/atom

---

Compound: AcSnPd2
Source: Alexandria
Functional: GGA-PBE
Structure: relaxed

```
data_AcSnPd2
_symmetry_space_group_name_H-M 'P 4/m m m'
_symmetry_Int_Tables_number 123
_symmetry_space_group_name_Hall '-P 4 2'
_cell_length_a 3.634
_cell_length_b 3.634
_cell_length_c 7.035
_cell_angle_alpha 90.00
_cell_angle_beta 90.00
_cell_angle_gamma 90.00
loop_
_atom_site_label
_atom_site_fract_x
_atom_site_fract_y
_atom_site_fract_z
Ac1 0.000 0.000 0.000
Sn1 0.000 0.000 0.500
Pd1 0.500 0.500 0.291
```

Electronic total energy   -20.6 eV/cell
Formation energy   -0.53 eV per atom
DOS(E_F)   0.578 states/eV/atom

---

Compound: Zr2TlRh
Source: Alexandria
Functional: GGA-PBE
Structure: relaxed

```
data_Zr2TlRh
_symmetry_space_group_name_H-M 'C 1 m 1'
_symmetry_Int_Tables_number 8
_cell_length_a 11.273
_cell_length_b 3.407
_cell_length_c 4.760
_cell_angle_alpha 90.00
_cell_angle_beta 114.84
_cell_angle_gamma 90.00
loop_
_symmetry_equiv_pos_as_xyz
'x,y,z'
'x,-y,z'
'x+1/2,y+1/2,z'
'x+1/2,-y+1/2,z'
loop_
_atom_site_label
_atom_site_fract_x
_atom_site_fract_y
_atom_site_fract_z
Zr1 0.000 0.000 0.000
Zr2 0.225 0.000 0.726
Tl1 0.283 0.500 0.284
Rh1 0.013 0.500 0.509
```

Electronic total energy   -55.8 eV/cell
Formation energy   -0.27 eV per atom
DOS(E_F)   1.106 states/eV/atom

---

Compound: PmCd2Sb2
Source: Alexandria
Functional: GGA-PBE
Structure: relaxed

```
data_PmCd2Sb2
_symmetry_space_group_name_H-M 'C m c m'
_symmetry_Int_Tables_number 63
_symmetry_space_group_name_Hall '-C 2c 2'
_cell_length_a 4.390
_cell_length_b 26.854
_cell_length_c 4.436
_cell_angle_alpha 90.00
_cell_angle_beta 90.00
_cell_angle_gamma 90.00
loop_
_atom_site_label
_atom_site_fract_x
_atom_site_fract_y
_atom_site_fract_z
Pm1 0.000 0.158 0.250
Cd1 0.000 0.040 0.750
Cd2 0.000 0.457 0.750
Sb1 0.000 0.250 0.750
Sb2 0.000 0.374 0.250
```

Electronic total energy   -68.7 eV/cell
Formation energy (no corrections)   -0.468 eV/atom
DOS(E_F)   0.429 states/eV/atom

---

Compound: Mg5CuHg6
Source: Alexandria
Functional: GGA-PBE
Structure: relaxed

```
data_Mg5CuHg6
_symmetry_space_group_name_H-M 'C 1 2/m 1'
_symmetry_Int_Tables_number 12
_cell_length_a 8.569
_cell_length_b 14.487
_cell_length_c 4.731
_cell_angle_alpha 90.00
_cell_angle_beta 122.36
_cell_angle_gamma 90.00
loop_
_symmetry_equiv_pos_as_xyz
'x,y,z'
'-x,-y,-z'
'-x,y,-z'
'x,-y,z'
'x+1/2,y+1/2,z'
'-x+1/2,-y+1/2,-z'
'-x+1/2,y+1/2,-z'
'x+1/2,-y+1/2,z'
loop_
_atom_site_label
_atom_site_fract_x
_atom_site_fract_y
_atom_site_fract_z
Mg1 0.000 0.000 0.000
Mg2 0.000 0.165 0.500
Mg3 0.000 0.332 0.000
Cu1 0.000 0.500 0.500
Hg1 0.237 0.500 0.239
Hg2 0.244 0.337 0.743
```

Electronic total energy   -31.2 eV/cell
Formation energy   -0.15 eV per atom
DOS(E_F)   0.280 states/eV/atom

---

Compound: CrSb
Source: Alexandria
Functional: GGA-PBE
Structure: relaxed

```
data_CrSb
_symmetry_space_group_name_H-M 'P 42/m n m'
_symmetry_Int_Tables_number 136
_symmetry_space_group_name_Hall '-P 4n 2n'
_cell_length_a 5.953
_cell_length_b 5.953
_cell_length_c 5.056
_cell_angle_alpha 90.00
_cell_angle_beta 90.00
_cell_angle_gamma 90.00
loop_
_atom_site_label
_atom_site_fract_x
_atom_site_fract_y
_atom_site_fract_z
Cr1 0.121 0.121 0.000
Sb1 0.205 0.205 0.500
```

Electronic total energy   -50.5 eV/cell
Formation energy (no corrections)   0.558 eV/atom
DOS(E_F)   0.475 states/eV/atom

---

Compound: Na2ZrPa2Se6
Source: Alexandria
Functional: GGA-PBE
Structure: relaxed

```
data_Na2ZrPa2Se6
_symmetry_space_group_name_H-M 'C 1 2/m 1'
_symmetry_Int_Tables_number 12
_cell_length_a 6.948
_cell_length_b 11.925
_cell_length_c 7.619
_cell_angle_alpha 90.00
_cell_angle_beta 107.41
_cell_angle_gamma 90.00
loop_
_symmetry_equiv_pos_as_xyz
'x,y,z'
'-x,-y,-z'
'-x,y,-z'
'x,-y,z'
'x+1/2,y+1/2,z'
'-x+1/2,-y+1/2,-z'
'-x+1/2,y+1/2,-z'
'x+1/2,-y+1/2,z'
loop_
_atom_site_label
_atom_site_fract_x
_atom_site_fract_y
_atom_site_fract_z
Na1 0.000 0.168 0.000
Zr1 0.000 0.000 0.500
Pa1 0.000 0.336 0.500
Se1 0.238 0.162 0.728
Se2 0.244 0.000 0.268
```

Electronic total energy   -131.2 eV/cell
Formation energy (no corrections)   -1.318 eV/atom
DOS(E_F)   0.726 states/eV/atom

---

Compound: TaAl2Tl
Source: Alexandria
Functional: GGA-PBE
Structure: relaxed

```
data_TaAl2Tl
_symmetry_space_group_name_H-M 'F m -3 m'
_symmetry_Int_Tables_number 225
_symmetry_space_group_name_Hall '-F 4 2 3'
_cell_length_a 6.756
_cell_length_b 6.756
_cell_length_c 6.756
_cell_angle_alpha 90.00
_cell_angle_beta 90.00
_cell_angle_gamma 90.00
loop_
_atom_site_label
_atom_site_fract_x
_atom_site_fract_y
_atom_site_fract_z
Ta1 0.000 0.000 0.000
Al1 0.250 0.250 0.250
Tl1 0.000 0.000 0.500
```

Electronic total energy   -76.9 eV/cell
Formation energy   0.62 eV per atom
DOS(E_F)   1.283 states/eV/atom
Relative energy among the computed polymorphs   500 meV/atom

---

Compound: La6Nd2Tm
Source: Alexandria
Functional: GGA-PBE
Structure: relaxed

```
data_La6Nd2Tm
_symmetry_space_group_name_H-M 'P -6 m 2'
_symmetry_Int_Tables_number 187
_symmetry_space_group_name_Hall 'P -6 2'
_cell_length_a 3.6750
_cell_length_b 3.6750
_cell_length_c 27.7013
_cell_angle_alpha 90.00
_cell_angle_beta 90.00
_cell_angle_gamma 120.00
loop_
_atom_site_label
_atom_site_fract_x
_atom_site_fract_y
_atom_site_fract_z
La1 0.0000 0.0000 0.0620
La2 0.0000 0.0000 0.2818
La3 0.3333 0.6667 0.3960
Nd1 0.3333 0.6667 0.1703
Tm1 0.0000 0.0000 0.5000
```

Electronic total energy   -43.1 eV/cell
Formation energy   0.06 eV per atom
DOS(E_F)   1.844 states/eV/atom
Relative energy among the computed polymorphs   0 meV/atom

---

Compound: BaCe2Bi3
Source: Alexandria
Functional: GGA-PBE
Structure: relaxed

```
data_BaCe2Bi3
_symmetry_space_group_name_H-M 'P 1 21/m 1'
_symmetry_Int_Tables_number 11
_cell_length_a 8.191
_cell_length_b 4.715
_cell_length_c 12.090
_cell_angle_alpha 90.00
_cell_angle_beta 103.09
_cell_angle_gamma 90.00
loop_
_symmetry_equiv_pos_as_xyz
'x,y,z'
'-x,-y,-z'
'-x,y+1/2,-z'
'x,-y+1/2,z'
loop_
_atom_site_label
_atom_site_fract_x
_atom_site_fract_y
_atom_site_fract_z
Ba1 0.037 0.250 0.335
Ce1 0.248 0.250 0.991
Ce2 0.485 0.250 0.676
Bi1 0.146 0.750 0.144
Bi2 0.292 0.750 0.515
Bi3 0.380 0.750 0.845
```

Electronic total energy   -60.2 eV/cell
Formation energy   -0.78 eV per atom
DOS(E_F)   1.637 states/eV/atom

---

Compound: TlIn2CoSn
Source: Alexandria
Functional: GGA-PBE
Structure: relaxed

```
data_TlIn2CoSn
_symmetry_space_group_name_H-M 'P 4/m m m'
_symmetry_Int_Tables_number 123
_symmetry_space_group_name_Hall '-P 4 2'
_cell_length_a 5.057
_cell_length_b 5.057
_cell_length_c 4.895
_cell_angle_alpha 90.00
_cell_angle_beta 90.00
_cell_angle_gamma 90.00
loop_
_atom_site_label
_atom_site_fract_x
_atom_site_fract_y
_atom_site_fract_z
Tl1 0.000 0.000 0.000
In1 0.000 0.500 0.500
Co1 0.500 0.500 0.500
Sn1 0.500 0.500 0.000
```

Electronic total energy   -18.8 eV/cell
Formation energy   0.03 eV per atom
DOS(E_F)   0.712 states/eV/atom

---

Compound: BaSm4Mg5
Source: Alexandria
Functional: GGA-PBE
Structure: relaxed

```
data_BaSm4Mg5
_symmetry_space_group_name_H-M 'P 4/m m m'
_symmetry_Int_Tables_number 123
_symmetry_space_group_name_Hall '-P 4 2'
_cell_length_a 3.902
_cell_length_b 3.902
_cell_length_c 20.136
_cell_angle_alpha 90.00
_cell_angle_beta 90.00
_cell_angle_gamma 90.00
loop_
_atom_site_label
_atom_site_fract_x
_atom_site_fract_y
_atom_site_fract_z
Ba1 0.000 0.000 0.000
Sm1 0.000 0.000 0.221
Sm2 0.000 0.000 0.406
Mg1 0.500 0.500 0.126
Mg2 0.500 0.500 0.312
Mg3 0.500 0.500 0.500
```

Electronic total energy   -29.6 eV/cell
Formation energy   -0.08 eV per atom
DOS(E_F)   1.025 states/eV/atom

---

Compound: HoNpAl6
Source: Alexandria
Functional: GGA-PBE
Structure: relaxed

```
data_HoNpAl6
_symmetry_space_group_name_H-M 'P -6 m 2'
_symmetry_Int_Tables_number 187
_symmetry_space_group_name_Hall 'P -6 2'
_cell_length_a 6.1535
_cell_length_b 6.1535
_cell_length_c 4.6836
_cell_angle_alpha 90.00
_cell_angle_beta 90.00
_cell_angle_gamma 120.00
loop_
_atom_site_label
_atom_site_fract_x
_atom_site_fract_y
_atom_site_fract_z
Ho1 0.0000 0.0000 0.0000
Np1 0.3333 0.6667 0.5000
Al1 0.3625 0.1812 0.5000
Al2 0.5128 0.0257 0.0000
```

Electronic total energy   -42.1 eV/cell
Formation energy   -0.27 eV per atom
DOS(E_F)   1.539 states/eV/atom

---

Compound: La2BCS
Source: Alexandria
Functional: GGA-PBE
Structure: relaxed

```
data_La2BCS
_symmetry_space_group_name_H-M 'P 4/m m m'
_symmetry_Int_Tables_number 123
_symmetry_space_group_name_Hall '-P 4 2'
_cell_length_a 5.321
_cell_length_b 5.321
_cell_length_c 3.166
_cell_angle_alpha 90.00
_cell_angle_beta 90.00
_cell_angle_gamma 90.00
loop_
_atom_site_label
_atom_site_fract_x
_atom_site_fract_y
_atom_site_fract_z
La1 0.000 0.500 0.000
B1 0.000 0.000 0.500
C1 0.000 0.000 0.000
S1 0.500 0.500 0.500
```

Electronic total energy   -33.5 eV/cell
Formation energy (no corrections)   -0.725 eV/atom
DOS(E_F)   0.614 states/eV/atom

---

Compound: Ba2Na2H5
Source: Alexandria
Functional: GGA-PBE
Structure: relaxed

```
data_Ba2Na2H5
_symmetry_space_group_name_H-M 'C 1 2/m 1'
_symmetry_Int_Tables_number 12
_cell_length_a 13.855
_cell_length_b 4.519
_cell_length_c 5.828
_cell_angle_alpha 90.00
_cell_angle_beta 113.58
_cell_angle_gamma 90.00
loop_
_symmetry_equiv_pos_as_xyz
'x,y,z'
'-x,-y,-z'
'-x,y,-z'
'x,-y,z'
'x+1/2,y+1/2,z'
'-x+1/2,-y+1/2,-z'
'-x+1/2,y+1/2,-z'
'x+1/2,-y+1/2,z'
loop_
_atom_site_label
_atom_site_fract_x
_atom_site_fract_y
_atom_site_fract_z
Ba1 0.105 0.000 0.366
Na1 0.149 0.500 0.911
H1 0.000 0.500 0.500
H2 0.117 0.000 0.892
H3 0.195 0.500 0.327
```

Electronic total energy   -52.0 eV/cell
DOS(E_F)   0.185 states/eV/atom

---

Compound: Ca4CeMg5
Source: Alexandria
Functional: GGA-PBE
Structure: relaxed

```
data_Ca4CeMg5
_symmetry_space_group_name_H-M 'P 4/m m m'
_symmetry_Int_Tables_number 123
_symmetry_space_group_name_Hall '-P 4 2'
_cell_length_a 3.887
_cell_length_b 3.887
_cell_length_c 20.212
_cell_angle_alpha 90.00
_cell_angle_beta 90.00
_cell_angle_gamma 90.00
loop_
_atom_site_label
_atom_site_fract_x
_atom_site_fract_y
_atom_site_fract_z
Ca1 0.000 0.000 0.101
Ca2 0.000 0.000 0.303
Ce1 0.000 0.000 0.500
Mg1 0.500 0.500 0.000
Mg2 0.500 0.500 0.202
Mg3 0.500 0.500 0.403
```

Electronic total energy   -22.3 eV/cell
Formation energy   -0.04 eV per atom
DOS(E_F)   1.460 states/eV/atom

---

Compound: TcSe2O
Source: Alexandria
Functional: GGA-PBE
Structure: relaxed

```
data_TcSe2O
_symmetry_space_group_name_H-M 'R -3 m'
_symmetry_Int_Tables_number 166
_symmetry_space_group_name_Hall '-R 3 2"'
_cell_length_a 3.6525
_cell_length_b 3.6525
_cell_length_c 19.8145
_cell_angle_alpha 90.00
_cell_angle_beta 90.00
_cell_angle_gamma 120.00
loop_
_atom_site_label
_atom_site_fract_x
_atom_site_fract_y
_atom_site_fract_z
Tc1 0.0000 0.0000 0.0000
Se1 0.0000 0.0000 0.4038
O1 0.0000 0.0000 0.5000
```

Electronic total energy   -67.1 eV/cell
Formation energy (no corrections)   -0.014 eV/atom
DOS(E_F)   0.752 states/eV/atom

---

Compound: Pm5PrDy4
Source: Alexandria
Functional: GGA-PBE
Structure: relaxed

```
data_Pm5PrDy4
_symmetry_space_group_name_H-M 'C 1 2/m 1'
_symmetry_Int_Tables_number 12
_cell_length_a 17.247
_cell_length_b 3.567
_cell_length_c 11.525
_cell_angle_alpha 90.00
_cell_angle_beta 109.14
_cell_angle_gamma 90.00
loop_
_symmetry_equiv_pos_as_xyz
'x,y,z'
'-x,-y,-z'
'-x,y,-z'
'x,-y,z'
'x+1/2,y+1/2,z'
'-x+1/2,-y+1/2,-z'
'-x+1/2,y+1/2,-z'
'x+1/2,-y+1/2,z'
loop_
_atom_site_label
_atom_site_fract_x
_atom_site_fract_y
_atom_site_fract_z
Pm1 0.000 0.000 0.000
Pm2 0.190 0.500 0.580
Pm3 0.210 0.500 0.115
Pr1 0.000 0.000 0.500
Dy1 0.084 0.500 0.793
Dy2 0.105 0.000 0.297
```

Electronic total energy   -93.1 eV/cell
Formation energy   0.04 eV per atom
DOS(E_F)   1.365 states/eV/atom
Relative energy among the computed polymorphs   0 meV/atom

---

Compound: Ho2ScAl9
Source: Alexandria
Functional: GGA-PBE
Structure: relaxed

```
data_Ho2ScAl9
_symmetry_space_group_name_H-M 'P 4/m m m'
_symmetry_Int_Tables_number 123
_symmetry_space_group_name_Hall '-P 4 2'
_cell_length_a 4.200
_cell_length_b 4.200
_cell_length_c 12.578
_cell_angle_alpha 90.00
_cell_angle_beta 90.00
_cell_angle_gamma 90.00
loop_
_atom_site_label
_atom_site_fract_x
_atom_site_fract_y
_atom_site_fract_z
Ho1 0.000 0.000 0.170
Sc1 0.000 0.000 0.500
Al1 0.000 0.500 0.000
Al2 0.000 0.500 0.340
Al3 0.500 0.500 0.169
Al4 0.500 0.500 0.500
```

Electronic total energy   -54.3 eV/cell
Formation energy   -0.43 eV per atom
DOS(E_F)   0.402 states/eV/atom

---

Compound: HgTeRh
Source: Alexandria
Functional: GGA-PBE
Structure: relaxed

```
data_HgTeRh
_symmetry_space_group_name_H-M 'F -4 3 m'
_symmetry_Int_Tables_number 216
_symmetry_space_group_name_Hall 'F -4 2 3'
_cell_length_a 6.480
_cell_length_b 6.480
_cell_length_c 6.480
_cell_angle_alpha 90.00
_cell_angle_beta 90.00
_cell_angle_gamma 90.00
loop_
_atom_site_label
_atom_site_fract_x
_atom_site_fract_y
_atom_site_fract_z
Hg1 0.000 0.000 0.000
Te1 0.000 0.000 0.500
Rh1 0.250 0.250 0.250
```

Electronic total energy   -43.5 eV/cell
Formation energy (no corrections)   -0.028 eV/atom
DOS(E_F)   0.882 states/eV/atom
Relative energy among the computed polymorphs   104 meV/atom